Record 1
A relaxed structure of Na2AuI. Source: Alexandria, functional PBE-GGA.

Cell: 7.0867 7.0867 13.4570 Å, 90.00 90.00 90.00°
Closest atoms and distances in Å follow each position.
Space group I-42d (No. 122)
One atom of each set of equivalent atoms:
Na 0.2357 0.2500 0.1250 [8 per cell]  2 Au 2.96, 2 I 3.08
Au 0.0000 0.0000 0.0000 [4 per cell]  4 Na 2.96
I 0.0000 0.0000 0.5000 [4 per cell]  4 Na 3.08

Values from the calculation:
- formation energy from raw total energies (eV/atom) = -0.60

***

Record 2
A relaxed structure of TmAgSnPb. Source: Alexandria, functional PBE-GGA.

Cell: 7.4642 7.4642 7.4642 Å, 90.00 90.00 90.00°
Closest atoms and distances in Å follow each position.
Space group F-43m (No. 216)
One atom of each set of equivalent atoms:
Tm 0.0000 0.0000 0.0000 [4 per cell]  4 Ag 3.23, 4 Sn 3.23
Ag 0.2500 0.2500 0.2500 [4 per cell]  4 Pb 3.23, 4 Tm 3.23
Sn 0.2500 0.2500 0.7500 [4 per cell]  4 Pb 3.23, 4 Tm 3.23
Pb 0.0000 0.0000 0.5000 [4 per cell]  4 Sn 3.23, 4 Ag 3.23

Values from the calculation:
- energy of formation (eV/atom) = -0.13

***

Record 3
A relaxed structure of KSrAgI4. Source: Alexandria, functional PBE-GGA.

Cell: 7.7502 8.3177 9.6564 Å, 90.00 107.74 90.00°
Closest atoms and distances in Å follow each position.
Space group P2_1/m (No. 11)
One atom of each set of equivalent atoms:
K 0.2108 0.2500 0.0471 [2 per cell]  6 I 3.46-3.78
Sr 0.2264 0.2500 0.5577 [2 per cell]  6 I 3.26-3.45
Ag 0.2400 0.7500 0.3215 [2 per cell]  4 I 2.81-2.88
I 0.0171 0.5095 0.7255 [4 per cell]  1 Ag 2.88
I 0.4482 0.7500 0.1287 [2 per cell]  1 Ag 2.81
I 0.4692 0.7500 0.6123 [2 per cell]  1 Ag 2.83

Values from the calculation:
- formation energy from raw total energies (eV/atom) = -1.20

***

Record 4
A relaxed structure of Tl2AsBr. Source: Alexandria, functional PBE-GGA.

Cell: 7.6228 7.6228 7.6228 Å, 90.00 90.00 90.00°
Closest atoms and distances in Å follow each position.
Space group Fm-3m (No. 225)
One atom of each set of equivalent atoms:
Tl 0.2500 0.2500 0.2500 [8 per cell]  4 As 3.30, 4 Br 3.30
As 0.0000 0.0000 0.0000 [4 per cell]  8 Tl 3.30
Br 0.0000 0.0000 0.5000 [4 per cell]  8 Tl 3.30

Values from the calculation:
- formation energy from raw total energies (eV/atom) = -0.07

***

Record 5
A relaxed structure of NpPb3. Source: Alexandria, functional PBE-GGA.

Cell: 4.6796 4.6796 10.4737 Å, 90.00 90.00 90.00°
Closest atoms and distances in Å follow each position.
Space group I4/mmm (No. 139)
One atom of each set of equivalent atoms:
Np 0.0000 0.0000 0.0000 [2 per cell]  12 Pb 3.31-3.51
Pb 0.0000 0.0000 0.5000 [2 per cell]  4 Np 3.31, 8 Pb 3.51
Pb 0.0000 0.5000 0.2500 [4 per cell]  8 Pb 3.31-3.51, 4 Np 3.51

Values from the calculation:
- energy of formation (eV/atom) = 0.17

***

Record 6
A relaxed structure of Pm2SmTh2. Source: Alexandria, functional PBE-GGA.

Cell: 3.6068 3.6068 25.7456 Å, 90.00 90.00 90.00°
Closest atoms and distances in Å follow each position.
Space group I4/mmm (No. 139)
One atom of each set of equivalent atoms:
Pm 0.0000 0.0000 0.1036 [4 per cell]  4 Pm 3.61, 4 Th 3.61, 4 Sm 3.69
Sm 0.0000 0.0000 0.5000 [2 per cell]  4 Sm 3.61, 8 Pm 3.69
Th 0.0000 0.0000 0.2973 [4 per cell]  8 Th 3.53-3.61, 4 Pm 3.61

Values from the calculation:
- energy of formation (eV/atom) = 0.03

***

Record 7
A relaxed structure of Nb3MoW3. Source: Alexandria, functional PBE-GGA.

Cell: 8.1206 8.1206 4.7319 Å, 90.00 90.00 120.00°
Closest atoms and distances in Å follow each position.
Space group P6_3/m (No. 176)
One atom of each set of equivalent atoms:
Nb 0.2160 0.4374 0.2500 [6 per cell]  4 W 2.67-2.74, 2 Nb 2.79, 2 Mo 2.86
Mo 0.3333 0.6667 0.7500 [2 per cell]  6 Nb 2.86, 3 W 2.99
W 0.1194 0.2411 0.7500 [6 per cell]  4 Nb 2.67-2.74, 6 W 2.91-2.94

Values from the calculation:
- energy of formation (eV/atom) = 0.80

***

Record 8
A relaxed structure of SrAcBiCl. Source: Alexandria, functional PBE-GGA.

Cell: 8.0618 8.0618 8.0618 Å, 90.00 90.00 90.00°
Closest atoms and distances in Å follow each position.
Space group F-43m (No. 216)
One atom of each set of equivalent atoms:
Sr 0.0000 0.0000 0.0000 [4 per cell]  4 Cl 3.49, 4 Bi 3.49
Ac 0.0000 0.0000 0.5000 [4 per cell]  4 Bi 3.49, 4 Cl 3.49
Bi 0.2500 0.2500 0.7500 [4 per cell]  4 Sr 3.49, 4 Ac 3.49
Cl 0.2500 0.2500 0.2500 [4 per cell]  4 Ac 3.49, 4 Sr 3.49

Values from the calculation:
- formation energy from raw total energies (eV/atom) = -1.17

***

Calculated values (μB per formula unit) of total magnetization for the records, taken in order: 0.000, 0.000, 0.000, 0.000, 4.679, 0.000, 0.000, 0.000.